This record from Alexandria via LeMat-Bulk describes PrHoAg after structural relaxation. The functional is PBE.

Results
Offset from the most stable computed form   0.00 kJ per mole of atoms
V   28.51 Å³/atom
Total energy   -12.70 eV/cell

a = 3.640 Å, b = 3.640 Å, c = 6.950 Å
α = 105.18°, β = 105.18°, γ = 90.00°
Element x y z (fractional)
1 Ag 0.678 0.678 0.356
2 Ho 0.309 0.309 0.619
3 Pr 0.013 0.013 0.025